*i*
Here is a geometry-optimized TaAg2W structure from Alexandria. Energies are from PBE.

a b c (Å): 3.3006 4.5274 9.3388
angles (deg): 90.00 90.00 90.00
Space group Cmm2 (No. 35)
Unique sites:
Ta: 0.0000 0.0000 0.0000 [2 per cell]
Ag: 0.0000 0.0000 0.4874 [2 per cell]
Ag: 0.0000 0.5000 0.7428 [2 per cell]
W: 0.0000 0.5000 0.2346 [2 per cell]

Computed properties:
Magnetization (μB per atom): 0.000
ρ (Mg/m³): 13.82
N(E_F) (states/eV per cell): 4.8

***

*ii*
Here is a geometry-optimized TaAg2W structure from Alexandria. Energies are from PBE.

a b c (Å): 9.5137 2.7133 5.3791
angles (deg): 90.00 96.37 90.00
Space group Cm (No. 8)
Unique sites:
Ta: 0.0000 0.0000 0.0000 [2 per cell]
Ag: 0.0020 0.5000 0.4994 [2 per cell]
Ag: 0.2516 0.5000 0.2652 [2 per cell]
W: 0.2508 0.0000 0.7584 [2 per cell]

Computed properties:
Magnetization (μB per atom): 0.000
ρ (Mg/m³): 13.97
N(E_F) (states/eV per cell): 6.0

***

Result of the stability comparison: *ii* is the least stable of them.

***

*i*
Here is a geometry-optimized TaAg2W structure from Alexandria. Energies are from PBE.

a b c (Å): 3.5699 3.5699 5.4715
angles (deg): 90.00 90.00 90.00
Space group P4/mmm (No. 123)
Unique sites:
Ta: 0.0000 0.0000 0.0000 [1 per cell]
Ag: 0.5000 0.5000 0.2521 [2 per cell]
W: 0.0000 0.0000 0.5000 [1 per cell]

Computed properties:
Magnetization (μB per atom): 0.000
ρ (Mg/m³): 13.82
N(E_F) (states/eV per cell): 3.4

***

*ii*
Here is a geometry-optimized TaAg2W structure from Alexandria. Energies are from PBE.

a b c (Å): 4.1336 4.1336 8.0890
angles (deg): 90.00 90.00 90.00
Space group I-4m2 (No. 119)
Unique sites:
Ta: 0.0000 0.0000 0.0000 [2 per cell]
Ag: 0.0000 0.0000 0.5000 [2 per cell]
Ag: 0.0000 0.5000 0.2500 [2 per cell]
W: 0.0000 0.5000 0.7500 [2 per cell]

Computed properties:
Magnetization (μB per atom): 0.174
ρ (Mg/m³): 13.95
N(E_F) (states/eV per cell): 10.1

***

Result of the stability comparison: *i* is the least stable of them.

***

*i*
Here is a geometry-optimized TaAg2W structure from Alexandria. Energies are from PBE.

a b c (Å): 6.5484 6.5484 6.5484
angles (deg): 90.00 90.00 90.00
Space group F-43m (No. 216)
Unique sites:
Ta: 0.0000 0.0000 0.0000 [4 per cell]
Ag: 0.0000 0.0000 0.5000 [4 per cell]
Ag: 0.2500 0.2500 0.2500 [4 per cell]
W: 0.2500 0.2500 0.7500 [4 per cell]

Computed properties:
Magnetization (μB per atom): 0.000
ρ (Mg/m³): 13.73
N(E_F) (states/eV per cell): 19.9

***

*ii*
Here is a geometry-optimized TaAg2W structure from Alexandria. Energies are from PBE.

a b c (Å): 7.5196 7.5196 5.2777
angles (deg): 90.00 90.00 90.00
Space group I-42d (No. 122)
Unique sites:
Ta: 0.0000 0.0000 0.0000 [4 per cell]
Ag: 0.2448 0.7500 0.6250 [8 per cell]
W: 0.0000 0.0000 0.5000 [4 per cell]

Computed properties:
Magnetization (μB per atom): 0.000
ρ (Mg/m³): 12.92
N(E_F) (states/eV per cell): 9.5

***

Result of the stability comparison: *ii* is the least stable of them.